Record 1
An optimized crystal structure of BePb2Br. Source: the Alexandria database, functional PBE-GGA.

Values from the calculation:
space-group type = I-4m2
energy above the lowest structure with this stoichiometry = 0.328 eV/atom
energy relative to the elements, uncorrected = 0.44 eV/atom

a b c (Å): 6.8960 6.8960 6.8960
angles (deg): 143.91 143.91 51.96
Fractional positions:
Pb: 0.2500 0.7500 0.5000
Pb: 0.0000 0.0000 0.0000
Br: 0.7500 0.2500 0.5000
Be: 0.5000 0.5000 0.0000

Record 2
An optimized crystal structure of Pt3BrCl. Source: the Alexandria database, functional PBE-GGA.

Values from the calculation:
space-group type = Pm-3m
energy above the lowest structure with this stoichiometry = 0.000 eV/atom
energy relative to the elements, uncorrected = 1.17 eV/atom

a b c (Å): 4.6639 4.6639 4.6639
angles (deg): 90.00 90.00 90.00
Fractional positions:
Pt: 0.5000 0.0000 0.0000
Pt: 0.0000 0.0000 0.5000
Pt: 0.0000 0.5000 0.0000
Br: 0.5000 0.5000 0.5000
Cl: 0.0000 0.0000 0.0000

Record 3
An optimized crystal structure of K3Ga2Au2. Source: the Alexandria database, functional PBE-GGA.

Values from the calculation:
space-group type = Immm
ΔH_f (0 K) = -0.246 eV per atom

a b c (Å): 5.1704 4.7777 9.9070
angles (deg): 103.95 105.13 90.00
Fractional positions:
Ga: 0.4295 0.4295 0.8591
Ga: 0.5705 0.5705 0.1409
K: 0.0000 0.0000 0.0000
K: 0.1917 0.6917 0.3834
K: 0.8083 0.3083 0.6166
Au: 0.3774 0.8774 0.7548
Au: 0.6226 0.1226 0.2452

Record 4
An optimized crystal structure of AcCe2ScAs4. Source: the Alexandria database, functional PBE-GGA.

Values from the calculation:
space-group type = P2/m
ΔH_f (0 K) = -1.342 eV per atom

a b c (Å): 4.2420 7.3178 7.3431
angles (deg): 70.59 90.00 90.00
Fractional positions:
Sc: 0.0000 0.5000 0.5000
As: 0.5000 0.2556 0.7303
As: 0.5000 0.7444 0.2697
As: 0.0000 0.2420 0.2722
As: 0.0000 0.7580 0.7278
Ce: 0.0000 0.0000 0.0000
Ce: 0.5000 0.0000 0.5000
Ac: 0.5000 0.5000 0.0000

Record 5
An optimized crystal structure of ZrBeCr. Source: the Alexandria database, functional PBE-GGA.

Values from the calculation:
space-group type = I4mm
energy above the lowest structure with this stoichiometry = 0.391 eV/atom
ΔH_f (0 K) = 0.338 eV per atom

a b c (Å): 6.0165 6.0165 6.0165
angles (deg): 153.73 153.73 37.49
Fractional positions:
Be: 0.9843 0.9843 0.0000
Zr: 0.6563 0.6563 0.0000
Cr: 0.3594 0.3594 0.0000

Record 6
An optimized crystal structure of Dy2Tm4ThSc. Source: the Alexandria database, functional PBE-GGA.

Values from the calculation:
space-group type = P4/mmm
ΔH_f (0 K) = 0.136 eV per atom

a b c (Å): 5.7129 5.7177 9.3654
angles (deg): 52.35 90.00 90.00
Fractional positions:
Tm: 0.5000 0.2412 0.7589
Tm: 0.0000 0.2589 0.2413
Tm: 0.0000 0.7411 0.7587
Tm: 0.5000 0.7588 0.2411
Dy: 0.0000 0.0000 0.0000
Dy: 0.5000 0.0000 0.5000
Sc: 0.5000 0.5000 0.0000
Th: 0.0000 0.5000 0.5000

Record 7
An optimized crystal structure of PbAu3C. Source: the Alexandria database, functional PBE-GGA.

Values from the calculation:
space-group type = Pm-3m
energy above the lowest structure with this stoichiometry = 0.000 eV/atom
ΔH_f (0 K) = 0.666 eV per atom

a b c (Å): 4.5416 4.5416 4.5416
angles (deg): 90.00 90.00 90.00
Fractional positions:
Au: 0.0000 0.5000 0.0000
Au: 0.0000 0.0000 0.5000
Au: 0.5000 0.0000 0.0000
C: 0.0000 0.0000 0.0000
Pb: 0.5000 0.5000 0.5000

Record 8
An optimized crystal structure of ZrOs. Source: the Alexandria database, functional PBE-GGA.

Values from the calculation:
space-group type = P6_3mc
ΔH_f (0 K) = 0.480 eV per atom

a b c (Å): 2.9655 2.9655 9.6338
angles (deg): 90.00 90.00 120.00
Fractional positions:
Os: 0.6667 0.3333 0.5515
Os: 0.3333 0.6667 0.0515
Zr: 0.3333 0.6667 0.3195
Zr: 0.6667 0.3333 0.8195

Record 9
An optimized crystal structure of K2Ga7Ge. Source: the Alexandria database, functional PBE-GGA.

Values from the calculation:
space-group type = P-4m2
ΔH_f (0 K) = -0.149 eV per atom

a b c (Å): 4.4957 4.4957 11.1772
angles (deg): 90.00 90.00 90.00
Fractional positions:
Ga: 0.5000 0.0000 0.1338
Ga: 0.0000 0.0000 0.5000
Ga: 0.5000 0.0000 0.3670
Ga: 0.0000 0.5000 0.8662
Ga: 0.5000 0.5000 0.5000
Ga: 0.0000 0.0000 0.0000
Ga: 0.0000 0.5000 0.6330
K: 0.0000 0.5000 0.2494
K: 0.5000 0.0000 0.7506
Ge: 0.5000 0.5000 0.0000

Record 10
An optimized crystal structure of NdTh2Fe. Source: the Alexandria database, functional PBE-GGA.

Values from the calculation:
space-group type = P4/mmm
energy above the lowest structure with this stoichiometry = 0.152 eV/atom
ΔH_f (0 K) = 0.111 eV per atom

a b c (Å): 3.5184 3.5184 8.8443
angles (deg): 90.00 90.00 90.00
Fractional positions:
Th: 0.0000 0.0000 0.8086
Th: 0.0000 0.0000 0.1914
Fe: 0.5000 0.5000 0.0000
Nd: 0.5000 0.5000 0.5000

Record 11
An optimized crystal structure of FeTcOs. Source: the Alexandria database, functional PBE-GGA.

Values from the calculation:
space-group type = Ima2
energy above the lowest structure with this stoichiometry = 0.092 eV/atom
ΔH_f (0 K) = 0.083 eV per atom

a b c (Å): 4.6055 5.8725 5.8832
angles (deg): 90.00 90.00 90.00
Fractional positions:
Fe: 0.5000 0.0000 0.2286
Fe: 0.0000 0.5000 0.7286
Fe: 0.0000 0.0000 0.2286
Fe: 0.5000 0.5000 0.7286
Os: 0.2500 0.6492 0.0788
Os: 0.7500 0.1492 0.5788
Os: 0.7500 0.3508 0.0788
Os: 0.2500 0.8508 0.5788
Tc: 0.7500 0.8502 0.8779
Tc: 0.2500 0.3502 0.3779
Tc: 0.2500 0.1498 0.8779
Tc: 0.7500 0.6498 0.3779

Record 12
An optimized crystal structure of ErFeCoGe2. Source: the Alexandria database, functional PBE-GGA.

Values from the calculation:
space-group type = I-4m2
ΔH_f (0 K) = -0.540 eV per atom

a b c (Å): 3.9880 3.9880 5.6988
angles (deg): 110.48 110.48 90.00
Fractional positions:
Fe: 0.7500 0.2500 0.5000
Co: 0.2500 0.7500 0.5000
Ge: 0.6297 0.6297 0.2594
Ge: 0.3703 0.3703 0.7406
Er: 0.0000 0.0000 0.0000

Number 1: uncorrected energy -11.1 eV for the cell shown. Number 2: uncorrected energy -15.8 eV for the cell shown. Number 3: uncorrected energy -17.6 eV for the cell shown. Number 4: uncorrected energy -51.6 eV for the cell shown. Number 5: uncorrected energy -20.9 eV for the cell shown. Number 6: uncorrected energy -39.8 eV for the cell shown. Number 7: uncorrected energy -19.4 eV for the cell shown. Number 8: uncorrected energy -37.6 eV for the cell shown. Number 9: uncorrected energy -29.5 eV for the cell shown. Number 10: uncorrected energy -27.6 eV for the cell shown. Number 11: uncorrected energy -119.2 eV for the cell shown. Number 12: uncorrected energy -32.1 eV for the cell shown.